# 1
Material: BaHfHg2Ru
Method: DFT, PBE-GGA
State: relaxed

Results
Magnetic moment in Bohr magnetons per cell: 0.00
Volume in Å³/atom: 30.33
Space group: P4/mmm, No. 123
Final energy in eV/f.u.: -20.499
Formation energy from the elements in meV per atom: 251.2

a = 5.614 Å, b = 4.811 Å, c = 5.614 Å
α = 90.00°, β = 90.00°, γ = 90.00°
Sites, in units of the cell vectors:
Hg 0.000 0.000 0.500
Hg 0.500 0.000 0.000
Hf 0.000 0.000 0.000
Ru 0.000 0.500 0.000
Ba 0.500 0.500 0.500

=====

# 2
Material: Ca5MgCu
Method: DFT, PBE-GGA
State: relaxed

Results
Magnetic moment in Bohr magnetons per cell: 0.00
Volume in Å³/atom: 35.06
Space group: P4/mmm, No. 123
Final energy in eV/f.u.: -14.653
Formation energy from the elements in meV per atom: 149.4

a = 5.535 Å, b = 5.535 Å, c = 8.009 Å
α = 90.00°, β = 90.00°, γ = 90.00°
Sites, in units of the cell vectors:
Ca 0.500 0.000 0.743
Ca 0.500 0.500 0.000
Ca 0.500 0.000 0.257
Ca 0.000 0.500 0.257
Ca 0.000 0.500 0.743
Mg 0.500 0.500 0.500
Cu 0.000 0.000 0.000

=====

# 3
Material: Bi2BS
Method: DFT, PBE-GGA
State: relaxed

Results
Magnetic moment in Bohr magnetons per cell: 0.00
Volume in Å³/atom: 21.15
Space group: Fm-3m, No. 225
ΔE_f (raw) in eV/atom: 0.8901
Final energy in eV/f.u.: -15.006

a = 4.928 Å, b = 4.928 Å, c = 4.928 Å
α = 60.00°, β = 60.00°, γ = 60.00°
Sites, in units of the cell vectors:
S 0.500 0.500 0.500
Bi 0.750 0.750 0.750
Bi 0.250 0.250 0.250
B 0.000 0.000 0.000

=====

> Among the records above, which one has the lowest volume?

Bi2BS